A plane-wave DFT calculation with GGA-PBE was carried out for BaMgSi after structural relaxation.

abc: 6.6611 6.6611 6.6611
angles: 144.32 150.30 47.09
Positions (direct):
Mg1 0.2890 0.2890 0.0000
Ba1 0.0106 0.0106 0.0000
Si1 0.7003 0.7003 0.0000

A plane-wave DFT calculation with GGA-PBE was carried out for Ba2MgSi after structural relaxation.

Calculated values
**Relative energy among the computed polymorphs**: 384.9 meV per atom

abc: 5.7238 5.7238 5.7238
angles: 60.00 60.00 60.00
Positions (direct):
Ba1 0.0000 0.0000 0.0000
Ba2 0.2500 0.2500 0.2500
Mg1 0.5000 0.5000 0.5000
Si1 0.7500 0.7500 0.7500

A plane-wave DFT calculation with GGA-PBE was carried out for Ba2MgSi after structural relaxation.

Calculated values
**Relative energy among the computed polymorphs**: 277.3 meV per atom

abc: 9.7814 9.7814 9.7814
angles: 28.22 28.22 28.22
Site moments in Bohr magnetons follow the coordinates.
Positions (direct):
Ba1 0.4811 0.4811 0.4811  0.05
Ba2 0.0189 0.0189 0.0189  0.05
Mg1 0.2500 0.2500 0.2500  0.00
Si1 0.7500 0.7500 0.7500  0.16

Number 1: total DFT energy (no corrections) -2.98 eV per atom, calculated volume 28.4 Å³ per atom, spin magnetization 0.00 μB/cell. Number 2: total DFT energy (no corrections) -2.51 eV per atom, calculated volume 33.1 Å³ per atom, spin magnetization 0.00 μB/cell. Number 3: total DFT energy (no corrections) -2.62 eV per atom, calculated volume 46.2 Å³ per atom, spin magnetization 0.75 μB/cell.